# 1
The following is a DFT calculation (PBE-GGA) of a relaxed structure of NdEuHoHg. Values from VASP.

Quantum ESPRESSO input file:
```
&SYSTEM
  ibrav = 0, nat = 4, ntyp = 4
/
ATOMIC_SPECIES
Nd 144.24 Nd.upf
Eu 151.96 Eu.upf
Ho 164.93 Ho.upf
Hg 200.59 Hg.upf
CELL_PARAMETERS angstrom
0.000 3.900 3.900
3.900 0.000 3.900
3.900 3.900 0.000
ATOMIC_POSITIONS angstrom
Nd 0.000 0.000 0.000
Eu 5.851 5.851 5.851
Ho 3.900 3.900 3.900
Hg 1.950 1.950 1.950
```

Density of states at the Fermi level: 5.0 states/eV/cell
Calculated volume: 118.7 Å³/cell
ΔE_f: -0.05 eV/atom

# 2
The following is a DFT calculation (PBE-GGA) of a relaxed structure of EuHoNiHg. Values from VASP.

Quantum ESPRESSO input file:
```
&SYSTEM
  ibrav = 0, nat = 4, ntyp = 4
/
ATOMIC_SPECIES
Eu 151.96 Eu.upf
Ho 164.93 Ho.upf
Ni 58.69 Ni.upf
Hg 200.59 Hg.upf
CELL_PARAMETERS angstrom
0.000 3.625 3.625
3.625 0.000 3.625
3.625 3.625 0.000
ATOMIC_POSITIONS angstrom
Eu 0.000 0.000 0.000
Ho 3.625 3.625 3.625
Ni 1.813 1.813 1.813
Hg 5.438 5.438 5.438
```

Density of states at the Fermi level: 9.2 states/eV/cell
Calculated volume: 95.3 Å³/cell
ΔE_f: -0.26 eV/atom

# 3
The following is a DFT calculation (PBE-GGA) of a relaxed structure of EuHoHgPt. Values from VASP.

Quantum ESPRESSO input file:
```
&SYSTEM
  ibrav = 0, nat = 4, ntyp = 4
/
ATOMIC_SPECIES
Eu 151.96 Eu.upf
Ho 164.93 Ho.upf
Hg 200.59 Hg.upf
Pt 195.08 Pt.upf
CELL_PARAMETERS angstrom
0.000 3.644 3.644
3.644 0.000 3.644
3.644 3.644 0.000
ATOMIC_POSITIONS angstrom
Eu 0.000 0.000 0.000
Ho 3.644 3.644 3.644
Hg 5.466 5.466 5.466
Pt 1.822 1.822 1.822
```

Density of states at the Fermi level: 8.5 states/eV/cell
Calculated volume: 96.8 Å³/cell
ΔE_f: -0.72 eV/atom

# 4
The following is a DFT calculation (PBE-GGA) of a relaxed structure of EuHoHgRh. Values from VASP.

Quantum ESPRESSO input file:
```
&SYSTEM
  ibrav = 0, nat = 4, ntyp = 4
/
ATOMIC_SPECIES
Eu 151.96 Eu.upf
Ho 164.93 Ho.upf
Hg 200.59 Hg.upf
Rh 102.91 Rh.upf
CELL_PARAMETERS angstrom
0.000 3.619 3.619
3.619 0.000 3.619
3.619 3.619 0.000
ATOMIC_POSITIONS angstrom
Eu 0.000 0.000 0.000
Ho 3.619 3.619 3.619
Hg 1.810 1.810 1.810
Rh 5.429 5.429 5.429
```

Density of states at the Fermi level: 8.3 states/eV/cell
Calculated volume: 94.8 Å³/cell
ΔE_f: -0.48 eV/atom

# 5
The following is a DFT calculation (PBE-GGA) of a relaxed structure of SmEuHoHg. Values from VASP.

Quantum ESPRESSO input file:
```
&SYSTEM
  ibrav = 0, nat = 4, ntyp = 4
/
ATOMIC_SPECIES
Sm 150.36 Sm.upf
Eu 151.96 Eu.upf
Ho 164.93 Ho.upf
Hg 200.59 Hg.upf
CELL_PARAMETERS angstrom
0.000 3.880 3.880
3.880 0.000 3.880
3.880 3.880 0.000
ATOMIC_POSITIONS angstrom
Sm 0.000 0.000 0.000
Eu 1.940 1.940 1.940
Ho 3.880 3.880 3.880
Hg 5.821 5.821 5.821
```

Density of states at the Fermi level: 5.0 states/eV/cell
Calculated volume: 116.9 Å³/cell
ΔE_f: -0.05 eV/atom

# 6
The following is a DFT calculation (PBE-GGA) of a relaxed structure of TbEuHoHg. Values from VASP.

Quantum ESPRESSO input file:
```
&SYSTEM
  ibrav = 0, nat = 4, ntyp = 4
/
ATOMIC_SPECIES
Tb 158.93 Tb.upf
Eu 151.96 Eu.upf
Ho 164.93 Ho.upf
Hg 200.59 Hg.upf
CELL_PARAMETERS angstrom
0.000 3.855 3.855
3.855 0.000 3.855
3.855 3.855 0.000
ATOMIC_POSITIONS angstrom
Tb 0.000 0.000 0.000
Eu 1.928 1.928 1.928
Ho 3.855 3.855 3.855
Hg 5.783 5.783 5.783
```

Density of states at the Fermi level: 5.2 states/eV/cell
Calculated volume: 114.6 Å³/cell
ΔE_f: -0.04 eV/atom

# 7
The following is a DFT calculation (PBE-GGA) of a relaxed structure of EuHg2I. Values from VASP.

Quantum ESPRESSO input file:
```
&SYSTEM
  ibrav = 0, nat = 4, ntyp = 3
/
ATOMIC_SPECIES
Eu 151.96 Eu.upf
Hg 200.59 Hg.upf
I 126.90 I.upf
CELL_PARAMETERS angstrom
2.098 1.211 10.809
-2.098 1.211 10.809
0.000 -2.423 10.809
ATOMIC_POSITIONS angstrom
Eu 0.000 0.000 0.000
Hg 0.000 0.000 3.159
Hg 0.000 0.000 29.269
I 0.000 0.000 16.214
```

Density of states at the Fermi level: 11.1 states/eV/cell
Calculated volume: 164.8 Å³/cell
Formation energy without anion corrections: -3.192 kcal/mol of atoms

# 8
The following is a DFT calculation (PBE-GGA) of a relaxed structure of EuInHg2. Values from VASP.

Quantum ESPRESSO input file:
```
&SYSTEM
  ibrav = 0, nat = 4, ntyp = 3
/
ATOMIC_SPECIES
Eu 151.96 Eu.upf
In 114.82 In.upf
Hg 200.59 Hg.upf
CELL_PARAMETERS angstrom
3.863 0.000 0.000
0.000 3.863 0.000
0.000 0.000 7.257
ATOMIC_POSITIONS angstrom
Eu 0.000 0.000 0.000
In 0.000 0.000 3.628
Hg 1.932 1.932 1.884
Hg 1.932 1.932 5.373
```

Density of states at the Fermi level: 8.9 states/eV/cell
Calculated volume: 108.3 Å³/cell
ΔE_f: -0.35 eV/atom

# 9
The following is a DFT calculation (PBE-GGA) of a relaxed structure of EuInHg. Values from VASP.

Quantum ESPRESSO input file:
```
&SYSTEM
  ibrav = 0, nat = 3, ntyp = 3
/
ATOMIC_SPECIES
Eu 151.96 Eu.upf
In 114.82 In.upf
Hg 200.59 Hg.upf
CELL_PARAMETERS angstrom
0.000 3.594 3.594
3.594 0.000 3.594
3.594 3.594 0.000
ATOMIC_POSITIONS angstrom
Eu 0.000 0.000 0.000
In 3.594 3.594 3.594
Hg 1.797 1.797 1.797
```

Energy relative to the lowest polymorph listed for this composition: 11.2 kJ per mole of atoms
Density of states at the Fermi level: 12.2 states/eV/cell
Calculated volume: 92.8 Å³/cell
ΔE_f: -0.36 eV/atom

# 10
The following is a DFT calculation (PBE-GGA) of a relaxed structure of EuInHg. Values from VASP.

Quantum ESPRESSO input file:
```
&SYSTEM
  ibrav = 0, nat = 3, ntyp = 3
/
ATOMIC_SPECIES
Eu 151.96 Eu.upf
In 114.82 In.upf
Hg 200.59 Hg.upf
CELL_PARAMETERS angstrom
-1.692 1.692 8.665
1.692 -1.692 8.665
1.692 1.692 -8.665
ATOMIC_POSITIONS angstrom
Eu 0.000 0.000 0.000
In 0.000 0.000 3.277
Hg 0.000 0.000 14.174
```

Energy relative to the lowest polymorph listed for this composition: 59.8 kJ per mole of atoms
Density of states at the Fermi level: 2.5 states/eV/cell
Calculated volume: 99.3 Å³/cell
ΔE_f: 0.15 eV/atom

# 11
The following is a DFT calculation (PBE-GGA) of a relaxed structure of EuIn4Hg. Values from VASP.

Quantum ESPRESSO input file:
```
&SYSTEM
  ibrav = 0, nat = 6, ntyp = 3
/
ATOMIC_SPECIES
Eu 151.96 Eu.upf
In 114.82 In.upf
Hg 200.59 Hg.upf
CELL_PARAMETERS angstrom
0.000 4.395 4.395
4.395 0.000 4.395
4.395 4.395 0.000
ATOMIC_POSITIONS angstrom
Eu 0.000 0.000 0.000
In 5.493 3.297 3.297
In 3.297 5.493 3.297
In 3.297 3.297 5.493
In 5.493 5.493 5.493
Hg 2.197 2.197 2.197
```

Density of states at the Fermi level: 9.9 states/eV/cell
Calculated volume: 169.8 Å³/cell
ΔE_f: -0.17 eV/atom

# 12
The following is a DFT calculation (PBE-GGA) of a relaxed structure of EuInHg2. Values from VASP.

Quantum ESPRESSO input file:
```
&SYSTEM
  ibrav = 0, nat = 4, ntyp = 3
/
ATOMIC_SPECIES
Eu 151.96 Eu.upf
In 114.82 In.upf
Hg 200.59 Hg.upf
CELL_PARAMETERS angstrom
0.000 3.732 3.732
3.732 0.000 3.732
3.732 3.732 0.000
ATOMIC_POSITIONS angstrom
Eu 0.000 0.000 0.000
In 3.732 3.732 3.732
Hg 1.866 1.866 1.866
Hg 5.598 5.598 5.598
```

Density of states at the Fermi level: 7.6 states/eV/cell
Calculated volume: 104.0 Å³/cell
ΔE_f: -0.43 eV/atom

# 13
The following is a DFT calculation (PBE-GGA) of a relaxed structure of EuInHg. Values from VASP.

Quantum ESPRESSO input file:
```
&SYSTEM
  ibrav = 0, nat = 3, ntyp = 3
/
ATOMIC_SPECIES
Eu 151.96 Eu.upf
In 114.82 In.upf
Hg 200.59 Hg.upf
CELL_PARAMETERS angstrom
5.078 0.000 0.000
-2.539 4.398 0.000
0.000 0.000 3.707
ATOMIC_POSITIONS angstrom
Eu 0.000 0.000 0.000
In 2.539 1.466 1.854
Hg 0.000 2.932 1.854
```

Energy relative to the lowest polymorph listed for this composition: 0.0 kJ per mole of atoms
Density of states at the Fermi level: 8.3 states/eV/cell
Calculated volume: 82.8 Å³/cell
ΔE_f: -0.47 eV/atom

# 14
The following is a DFT calculation (PBE-GGA) of a relaxed structure of EuInHg2. Values from VASP.

Quantum ESPRESSO input file:
```
&SYSTEM
  ibrav = 0, nat = 4, ntyp = 3
/
ATOMIC_SPECIES
Eu 151.96 Eu.upf
In 114.82 In.upf
Hg 200.59 Hg.upf
CELL_PARAMETERS angstrom
4.909 0.000 0.000
0.000 4.909 0.000
0.000 0.000 4.467
ATOMIC_POSITIONS angstrom
Eu 0.000 0.000 0.000
In 2.454 2.454 0.000
Hg 0.000 2.454 2.234
Hg 2.454 0.000 2.234
```

Density of states at the Fermi level: 10.0 states/eV/cell
Calculated volume: 107.6 Å³/cell
ΔE_f: -0.36 eV/atom

# 15
The following is a DFT calculation (PBE-GGA) of a relaxed structure of LiEuInHg. Values from VASP.

Quantum ESPRESSO input file:
```
&SYSTEM
  ibrav = 0, nat = 4, ntyp = 4
/
ATOMIC_SPECIES
Li 6.94 Li.upf
Eu 151.96 Eu.upf
In 114.82 In.upf
Hg 200.59 Hg.upf
CELL_PARAMETERS angstrom
0.000 3.629 3.629
3.629 0.000 3.629
3.629 3.629 0.000
ATOMIC_POSITIONS angstrom
Li 0.000 0.000 0.000
Eu 5.444 5.444 5.444
In 1.815 1.815 1.815
Hg 3.629 3.629 3.629
```

Density of states at the Fermi level: 10.9 states/eV/cell
Calculated volume: 95.6 Å³/cell
ΔE_f: -0.39 eV/atom